Ca3NbN | PBE-GGA | optimized geometry

Structure (extended XYZ):
```
5
Lattice="4.9525 0.0000 0.0000 0.0000 4.9525 0.0000 0.0000 0.0000 4.9525" Properties=species:S:1:pos:R:3 pbc="T T T"
Ca 0.0000 0.0000 2.4762
Ca 0.0000 2.4762 0.0000
Ca 2.4762 0.0000 0.0000
Nb 2.4762 2.4762 2.4762
N 0.0000 0.0000 0.0000
```

## Properties
The value obtained for the uncorrected formation energy is 179 meV/atom. The calculation puts the distance to the lowest polymorph of the same formula at 0 meV/atom. For the magnetic moment, the calculation gives 0.79 μB/atom. For the raw total energy, the calculation gives -4.70 eV per atom. The density of states at the Fermi level is 0.739 states/eV per atom. Its space group is Pm-3m, No. 221.

CaNbNiN3 | PBE-GGA | optimized geometry

Structure (extended XYZ):
```
12
Lattice="6.6579 0.0000 0.0000 0.0000 3.2036 0.0000 -1.9101 0.0000 7.1521" Properties=species:S:1:pos:R:3 pbc="T T T"
Ca 0.9132 0.8009 1.6056
Ca 3.8346 2.4027 5.5465
Nb 0.5057 2.4027 6.1451
Nb 4.2421 0.8009 1.0070
Ni -0.3879 0.8009 4.1875
Ni 5.1356 2.4027 2.9647
N -0.8279 0.8009 6.1699
N 0.4199 2.4027 3.6902
N 2.6700 2.4027 1.0234
N 2.0778 0.8009 6.1287
N 4.3279 0.8009 3.4619
N 5.5757 2.4027 0.9822
```

## Properties
The value obtained for the uncorrected formation energy is -570 meV/atom. For the magnetic moment, the calculation gives 0.00 μB/atom. For the raw total energy, the calculation gives -7.71 eV per atom. The density of states at the Fermi level is 0.590 states/eV per atom. Its space group is P2_1/m, No. 11.

Ca3NpNb3N8 | PBE-GGA | optimized geometry

Structure (extended XYZ):
```
15
Lattice="3.2192 1.8586 5.6636 -3.2192 1.8586 5.6636 0.0000 -3.7172 5.6636" Properties=species:S:1:pos:R:3 pbc="T T T"
Ca -1.6096 -0.9293 5.6636
Ca -1.6096 0.9293 11.3271
Ca 0.0000 1.8586 5.6636
Np 0.0000 0.0000 8.4953
Nb -3.2192 0.0000 8.4953
Nb -1.6096 0.9293 2.8318
Nb 1.6096 0.9293 2.8318
N -1.6020 -0.9249 9.6269
N 0.0000 0.0000 4.0790
N 0.0000 -1.8499 7.3637
N -1.6020 0.9249 7.3637
N 1.6020 -0.9249 9.6269
N 0.0000 1.8499 9.6269
N 0.0000 0.0000 12.9117
N 1.6020 0.9249 7.3637
```

## Properties
The value obtained for the uncorrected formation energy is -1054 meV/atom. For the magnetic moment, the calculation gives 0.12 μB/atom. For the raw total energy, the calculation gives -8.77 eV per atom. The density of states at the Fermi level is 0.474 states/eV per atom. Its space group is R-3m, No. 166.